[1]
The following is a DFT calculation (PBE) of a geometry-optimized AgTe3F structure.

Properties
**N(E_F)**: 1.26 states/eV per atom
**Relative energy among the computed polymorphs**: 245.9 meV/atom
**Space-group type**: No. 221

Geometry as POSCAR:
```
AgTe3F
1.0
5.336 0.000 0.000
0.000 5.336 0.000
0.000 0.000 5.336
Ag Te F
1 3 1
Direct
0.000 0.000 0.000
0.000 0.000 0.500
0.000 0.500 0.000
0.500 0.000 0.000
0.500 0.500 0.500
```

***

[2]
The following is a DFT calculation (PBE) of a geometry-optimized BaSc2Hg structure.

Properties
**N(E_F)**: 1.34 states/eV per atom
**Energy of formation from the pure elements**: 0.09 eV/atom
**Space-group type**: No. 44

Geometry as POSCAR:
```
BaSc2Hg
1.0
-1.883 2.671 5.728
1.883 -2.671 5.728
1.883 2.671 -5.728
Ba Sc Hg
1 2 1
Direct
0.000 0.000 0.000
0.440 0.440 0.000
0.712 0.212 0.500
0.250 0.750 0.500
```

***

[3]
The following is a DFT calculation (PBE) of a geometry-optimized V2AgCl6 structure.

Properties
**N(E_F)**: 1.08 states/eV per atom
**Relative energy among the computed polymorphs**: 0.0 meV/atom
**Space-group type**: No. 162

Geometry as POSCAR:
```
V2AgCl6
1.0
6.239 0.000 0.000
-3.120 5.403 0.000
0.000 0.000 6.071
V Ag Cl
2 1 6
Direct
0.333 0.667 0.000
0.667 0.333 0.000
0.000 0.000 0.500
0.000 0.359 0.226
0.000 0.641 0.774
0.359 0.000 0.226
0.359 0.359 0.774
0.641 0.000 0.774
0.641 0.641 0.226
```

***

[4]
The following is a DFT calculation (PBE) of a geometry-optimized B2ClF structure.

Properties
**N(E_F)**: 0.02 states/eV per atom
**Relative energy among the computed polymorphs**: 897.7 meV/atom
**Space-group type**: No. 225

Geometry as POSCAR:
```
B2ClF
1.0
0.000 3.016 3.016
3.016 0.000 3.016
3.016 3.016 0.000
B Cl F
2 1 1
Direct
0.250 0.250 0.250
0.750 0.750 0.750
0.000 0.000 0.000
0.500 0.500 0.500
```

***

| no. | E (eV per cell) |
| --- | --- |
| 1 | -12.172 |
| 2 | -14.523 |
| 3 | -41.574 |
| 4 | -11.357 |